[1]
## Ca2SbRh (PBE)

Data for a relaxed Ca2SbRh crystal.

Cell lengths 3.444, 4.799, 6.244 Å; angles 90.00, 90.00, 90.00 degrees
Positions (direct):
1 Sb 0.500 0.500 0.789
2 Ca 0.000 0.000 0.968
3 Ca 0.500 0.500 0.312
4 Rh 0.000 0.000 0.431

- ΔE_f (raw) (meV per atom) = -263

---

[2]
## ThPa2Os9 (PBE)

Data for a relaxed ThPa2Os9 crystal.

Cell lengths 5.302, 5.302, 9.424 Å; angles 73.66, 73.66, 60.00 degrees
Positions (direct):
1 Th 0.000 0.000 0.000
2 Pa 0.860 0.860 0.419
3 Pa 0.140 0.140 0.581
4 Os 0.662 0.662 0.015
5 Os 0.338 0.338 0.985
6 Os 0.500 0.500 0.500
7 Os 0.413 0.413 0.249
8 Os 0.924 0.413 0.249
9 Os 0.413 0.924 0.249
10 Os 0.587 0.587 0.751
11 Os 0.587 0.076 0.751
12 Os 0.076 0.587 0.751

- E_form (meV/atom) = -128.4

---

[3]
## PrSm2Zn3 (PBE)

Data for a relaxed PrSm2Zn3 crystal.

Cell lengths 5.171, 8.197, 7.339 Å; angles 90.00, 90.00, 71.61 degrees
Positions (direct):
1 Pr 0.334 0.332 0.000
2 Pr 0.666 0.668 0.000
3 Sm 0.000 0.000 0.000
4 Sm 0.000 0.000 0.500
5 Sm 0.332 0.335 0.500
6 Sm 0.668 0.665 0.500
7 Zn 0.835 0.329 0.743
8 Zn 0.500 0.000 0.256
9 Zn 0.165 0.671 0.257
10 Zn 0.835 0.329 0.257
11 Zn 0.165 0.671 0.743
12 Zn 0.500 0.000 0.744

- E_form (meV/atom) = -311.3

---

[4]
## Sc2Zn16Pd (PBE)

Data for a relaxed Sc2Zn16Pd crystal.

Cell lengths 6.710, 6.710, 6.710 Å; angles 82.52, 82.52, 82.52 degrees
Positions (direct):
1 Sc 0.669 0.669 0.669
2 Sc 0.335 0.335 0.335
3 Zn 0.701 0.998 0.298
4 Zn 0.998 0.298 0.701
5 Zn 0.298 0.701 0.998
6 Zn 0.998 0.701 0.298
7 Zn 0.701 0.298 0.998
8 Zn 0.298 0.998 0.701
9 Zn 0.358 0.832 0.358
10 Zn 0.832 0.358 0.358
11 Zn 0.358 0.358 0.832
12 Zn 0.646 0.154 0.646
13 Zn 0.154 0.646 0.646
14 Zn 0.646 0.646 0.154
15 Zn 0.000 0.501 0.000
16 Zn 0.501 0.000 0.000
17 Zn 0.000 0.000 0.501
18 Zn 0.105 0.105 0.105
19 Pd 0.902 0.902 0.902

- E_form (meV/atom) = -221.8

---

[5]
## TmPaNi10 (PBE)

Data for a relaxed TmPaNi10 crystal.

Cell lengths 3.987, 4.846, 8.343 Å; angles 90.00, 90.00, 90.00 degrees
Positions (direct):
1 Tm 0.000 0.500 0.500
2 Pa 0.000 0.000 0.000
3 Ni 0.000 0.000 0.328
4 Ni 0.000 0.500 0.837
5 Ni 0.000 0.500 0.163
6 Ni 0.000 0.000 0.672
7 Ni 0.500 0.000 0.500
8 Ni 0.500 0.500 0.000
9 Ni 0.500 0.249 0.249
10 Ni 0.500 0.751 0.751
11 Ni 0.500 0.751 0.249
12 Ni 0.500 0.249 0.751

- E_form (meV/atom) = -369.0

---

[6]
## PmDyAg2 (PBE)

Data for a relaxed PmDyAg2 crystal.

Cell lengths 3.652, 3.652, 7.478 Å; angles 90.00, 90.00, 90.00 degrees
Positions (direct):
1 Pm 0.500 0.500 0.500
2 Ag 0.000 0.000 0.766
3 Ag 0.000 0.000 0.234
4 Dy 0.500 0.500 0.000

- E_form (meV/atom) = -298.9

---

[7]
## VRhIN2 (PBE)

Data for a relaxed VRhIN2 crystal.

Cell lengths 3.767, 3.767, 5.875 Å; angles 90.00, 90.00, 90.00 degrees
Positions (direct):
1 I 0.000 0.000 0.500
2 N 0.000 0.500 0.000
3 N 0.500 0.000 0.000
4 Rh 0.500 0.500 0.500
5 V 0.000 0.000 0.000

- ΔE_f (raw) (meV per atom) = 710

---

[8]
## K3Hg4Bi2 (PBE)

Data for a relaxed K3Hg4Bi2 crystal.

Cell lengths 5.005, 6.684, 12.089 Å; angles 60.46, 78.41, 67.97 degrees
Positions (direct):
1 K 0.640 0.110 0.614
2 K 0.000 0.000 0.000
3 K 0.360 0.890 0.386
4 Hg 0.292 0.333 0.082
5 Hg 0.929 0.521 0.622
6 Hg 0.071 0.479 0.378
7 Hg 0.708 0.667 0.918
8 Bi 0.650 0.451 0.245
9 Bi 0.350 0.549 0.755

- E_form (meV/atom) = -261.3

---

[9]
## ReAuSe2 (PBE)

Data for a relaxed ReAuSe2 crystal.

Cell lengths 4.405, 2.708, 6.867 Å; angles 112.51, 90.00, 90.00 degrees
Positions (direct):
1 Au 0.500 0.250 0.250
2 Re 0.500 0.750 0.750
3 Se 0.000 0.968 0.976
4 Se 0.000 0.532 0.524

- ΔE_f (raw) (meV per atom) = 560

---

[10]
## TmMg2Zr4 (PBE)

Data for a relaxed TmMg2Zr4 crystal.

Cell lengths 3.134, 3.118, 17.583 Å; angles 90.00, 95.11, 90.00 degrees
Positions (direct):
1 Tm 0.500 0.000 0.000
2 Mg 0.789 0.500 0.578
3 Mg 0.211 0.500 0.422
4 Zr 0.924 0.500 0.847
5 Zr 0.641 0.000 0.281
6 Zr 0.076 0.500 0.153
7 Zr 0.359 0.000 0.719

- E_form (meV/atom) = 70.4

---

[11]
## P2O (PBE)

Data for a relaxed P2O crystal.

Cell lengths 3.284, 4.156, 4.536 Å; angles 77.40, 88.34, 66.87 degrees
Positions (direct):
1 P 0.017 0.386 0.504
2 P 0.373 0.700 0.205
3 O 0.338 0.047 0.350

- ΔE_f (raw) (meV per atom) = -501

---

[12]
## SrSc2Cd (PBE)

Data for a relaxed SrSc2Cd crystal.

Cell lengths 3.644, 3.648, 9.415 Å; angles 67.21, 90.00, 90.00 degrees
Positions (direct):
1 Cd 0.500 0.702 0.798
2 Sc 0.000 0.017 0.983
3 Sc 0.500 0.303 0.197
4 Sr 0.000 0.478 0.522

- E_form (meV/atom) = -25.8

---

[13]
## V12Ge7W (PBE)

Data for a relaxed V12Ge7W crystal.

Cell lengths 6.730, 6.730, 6.730 Å; angles 92.94, 92.94, 92.94 degrees
Positions (direct):
1 V 0.873 0.277 0.745
2 V 0.723 0.255 0.127
3 V 0.600 0.156 0.474
4 V 0.844 0.526 0.400
5 V 0.255 0.127 0.723
6 V 0.526 0.400 0.844
7 V 0.474 0.600 0.156
8 V 0.745 0.873 0.277
9 V 0.156 0.474 0.600
10 V 0.400 0.844 0.526
11 V 0.277 0.745 0.873
12 V 0.127 0.723 0.255
13 Ge 0.828 0.614 0.001
14 Ge 0.386 0.999 0.172
15 Ge 0.999 0.172 0.386
16 Ge 0.500 0.500 0.500
17 Ge 0.001 0.828 0.614
18 Ge 0.614 0.001 0.828
19 Ge 0.172 0.386 0.999
20 W 0.000 0.000 0.000

- E_form (meV/atom) = 70.8

---

[14]
## RbSrBr2 (PBE)

Data for a relaxed RbSrBr2 crystal.

Cell lengths 10.867, 10.867, 10.867 Å; angles 25.34, 25.34, 25.34 degrees
Positions (direct):
1 Sr 0.500 0.500 0.500
2 Br 0.881 0.881 0.881
3 Br 0.119 0.119 0.119
4 Rb 0.000 0.000 0.000

- ΔE_f (raw) (meV per atom) = -1551

---

[15]
## KVP (PBE)

Data for a relaxed KVP crystal.

Cell lengths 3.868, 3.868, 10.717 Å; angles 90.00, 90.00, 90.00 degrees
Positions (direct):
1 P 0.000 0.500 0.368
2 P 0.500 0.000 0.632
3 K 0.000 0.500 0.800
4 K 0.500 0.000 0.200
5 V 0.000 0.000 0.500
6 V 0.500 0.500 0.500

- E_form (meV/atom) = -459.6

---

[16]
## SnHgPb4 (PBE)

Data for a relaxed SnHgPb4 crystal.

Cell lengths 3.506, 8.996, 11.609 Å; angles 90.00, 90.00, 101.24 degrees
Positions (direct):
1 Sn 0.781 0.562 0.519
2 Sn 0.219 0.438 0.019
3 Hg 0.657 0.313 0.770
4 Hg 0.343 0.687 0.270
5 Pb 0.009 0.018 0.267
6 Pb 0.991 0.982 0.767
7 Pb 0.882 0.764 0.025
8 Pb 0.118 0.236 0.525
9 Pb 0.682 0.365 0.267
10 Pb 0.318 0.635 0.767
11 Pb 0.444 0.888 0.513
12 Pb 0.556 0.112 0.013

- E_form (meV/atom) = 28.9

---

[17]
## MnNbAlW (PBE)

Data for a relaxed MnNbAlW crystal.

Cell lengths 4.448, 4.448, 4.448 Å; angles 60.00, 60.00, 60.00 degrees
Positions (direct):
1 Nb 0.750 0.750 0.750
2 Mn 0.250 0.250 0.250
3 Al 0.000 0.000 0.000
4 W 0.500 0.500 0.500

- E_form (meV/atom) = 43.9

---

[18]
## Zr3Si2Ni4 (PBE)

Data for a relaxed Zr3Si2Ni4 crystal.

Cell lengths 9.550, 9.550, 6.117 Å; angles 90.00, 90.00, 148.54 degrees
Positions (direct):
1 Ni 0.839 0.661 0.250
2 Ni 0.661 0.839 0.750
3 Ni 0.161 0.339 0.750
4 Ni 0.339 0.161 0.250
5 Ni 0.141 0.859 0.923
6 Ni 0.359 0.641 0.423
7 Ni 0.641 0.359 0.577
8 Ni 0.859 0.141 0.077
9 Si 0.132 0.868 0.546
10 Si 0.368 0.632 0.046
11 Si 0.632 0.368 0.954
12 Si 0.868 0.132 0.454
13 Zr 0.000 0.000 0.000
14 Zr 0.500 0.500 0.500
15 Zr 0.989 0.511 0.250
16 Zr 0.511 0.989 0.750
17 Zr 0.011 0.489 0.750
18 Zr 0.489 0.011 0.250

- ΔE_f (raw) (meV per atom) = -251

---

[19]
## Dy2Tm2Mg3 (PBE)

Data for a relaxed Dy2Tm2Mg3 crystal.

Cell lengths 4.917, 3.311, 12.106 Å; angles 89.99, 78.28, 90.00 degrees
Positions (direct):
1 Dy 0.572 0.500 0.857
2 Dy 0.428 0.500 0.143
3 Tm 0.708 0.500 0.585
4 Tm 0.292 0.500 0.415
5 Mg 0.852 0.000 0.297
6 Mg 0.000 0.000 0.000
7 Mg 0.148 0.000 0.703

- E_form (meV/atom) = 59.9

---

[20]
## ScMoIr4 (PBE)

Data for a relaxed ScMoIr4 crystal.

Cell lengths 5.176, 5.176, 5.176 Å; angles 60.00, 60.00, 60.00 degrees
Positions (direct):
1 Sc 0.000 0.000 0.000
2 Mo 0.750 0.750 0.750
3 Ir 0.876 0.375 0.375
4 Ir 0.375 0.375 0.876
5 Ir 0.375 0.876 0.375
6 Ir 0.375 0.375 0.375

- E_form (meV/atom) = -178.8

---

Computed calculated volume, in the same sequence as the records: 103.2, 217.0, 295.2, 295.0, 161.2, 99.7, 83.4, 326.1, 75.7, 171.2, 55.5, 115.4, 303.5, 206.8, 160.3, 359.1, 62.2, 291.2, 193.0, 98.1 Å³/cell.